The following is a DFT calculation (PBE-GGA) of a relaxed structure of NdNiP.

Output
Crystal system: hexagonal
Symmetry: P6_3/mmc (194)
E_tot in Ha/atom: -0.236

Cell: 3.957 3.957 8.100 Å, 90.00 90.00 120.00°
Atoms (fractional coordinates):
Nd1 0.000 0.000 0.000
Nd2 0.000 0.000 0.500
Ni1 0.333 0.667 0.250
Ni2 0.667 0.333 0.750
P1 0.667 0.333 0.250
P2 0.333 0.667 0.750